# 1
Computed, not measured: an optimized crystal structure of TaTe2As at the PBE-GGA level of DFT.

Cell and atoms, written as extended XYZ:
```
4
Lattice="-1.733 2.092 7.132 1.733 -2.092 7.132 1.733 2.092 -7.132" Properties=species:S:1:pos:R:3 pbc="T T T"
Ta 0.000 0.000 0.000
Te 1.733 0.000 2.319
Te 0.000 2.092 4.813
As 0.000 0.000 7.132
```

space group	Immm, No. 71
energy relative to the elements, uncorrected	55.6	meV/atom

# 2
Computed, not measured: an optimized crystal structure of Tb2YCd at the PBE-GGA level of DFT.

Cell and atoms, written as extended XYZ:
```
4
Lattice="5.466 0.000 0.000 0.000 5.466 0.000 0.000 0.000 3.885" Properties=species:S:1:pos:R:3 pbc="T T T"
Tb 0.000 2.733 0.000
Tb 2.733 0.000 0.000
Y 0.000 0.000 1.942
Cd 2.733 2.733 1.942
```

space group	P4/mmm, No. 123
formation energy	-0.05	eV/atom

# 3
Computed, not measured: an optimized crystal structure of NaGa3Si3 at the PBE-GGA level of DFT.

Cell and atoms, written as extended XYZ:
```
14
Lattice="6.957 0.000 0.000 0.000 6.957 0.000 0.000 0.000 6.957" Properties=species:S:1:pos:R:3 pbc="T T T"
Na 0.000 0.000 0.000
Na 3.479 3.479 3.479
Ga 0.000 1.739 3.479
Ga 0.000 5.218 3.479
Ga 1.739 3.479 0.000
Ga 3.479 0.000 1.739
Ga 3.479 0.000 5.218
Ga 5.218 3.479 0.000
Si 0.000 3.479 1.739
Si 0.000 3.479 5.218
Si 1.739 0.000 3.479
Si 3.479 1.739 0.000
Si 3.479 5.218 0.000
Si 5.218 0.000 3.479
```

space group	Pm-3n, No. 223
energy relative to the elements, uncorrected	186.1	meV/atom

no.,DOS(E_F) (states/eV/atom)
1,0.6975
2,1.2768
3,0.7592